DFT (PBE-GGA) results for crystalline CrPtAu2 at its relaxed geometry.

The electronic total energy is -5.57 eV/atom. The density of states at the Fermi level comes out at 8.94 states/eV/cell. The energy of formation comes out at -0.01 eV/atom. The calculation puts the volume at 16.5 A^3/atom. The crystal system is tetragonal.

The structure belongs to space group I-4m2 (No. 119); the cell edges are 4.059, 4.059 and 8.022 Å and the angles 90.00°, 90.00° and 90.00°. The inequivalent atoms are Cr at (0.000, 0.000, 0.000), Pt at (0.000, 0.500, 0.750), Au at (0.000, 0.000, 0.500) and Au at (0.000, 0.500, 0.250).

***

DFT (PBE-GGA) results for crystalline CrPt6Au at its relaxed geometry.

The electronic total energy is -6.27 eV/atom. The density of states at the Fermi level comes out at 11.38 states/eV/cell. The energy of formation comes out at -0.12 eV/atom. The calculation puts the volume at 15.6 A^3/atom. The crystal system is tetragonal.

The structure belongs to space group P4/mmm (No. 123); the cell edges are 3.966, 3.966 and 7.919 Å and the angles 90.00°, 90.00° and 90.00°. The inequivalent atoms are Cr at (0.000, 0.000, 0.000), Pt at (0.000, 0.500, 0.237), Pt at (0.500, 0.500, 0.000), Pt at (0.500, 0.500, 0.500) and Au at (0.000, 0.000, 0.500).

***

DFT (PBE-GGA) results for crystalline CrPtAu2 at its relaxed geometry.

The electronic total energy is -5.45 eV/atom. The density of states at the Fermi level comes out at 2.61 states/eV/cell. The energy of formation comes out at 0.11 eV/atom. The calculation puts the volume at 17.0 A^3/atom. The crystal system is monoclinic.

The structure belongs to space group P2/m (No. 10); the cell edges are 2.879, 4.867 and 4.853 Å and the angles 90.00°, 91.27° and 90.00°. The inequivalent atoms are Cr at (0.000, 0.000, 0.000), Pt at (0.500, 0.000, 0.500) and Au at (0.252, 0.500, 0.752).

***

DFT (PBE-GGA) results for crystalline CrPtAu2 at its relaxed geometry.

The electronic total energy is -5.47 eV/atom. The density of states at the Fermi level comes out at 8.60 states/eV/cell. The energy of formation comes out at 0.08 eV/atom. The calculation puts the volume at 16.7 A^3/atom. The crystal system is trigonal.

The structure belongs to space group R3m (No. 160, hexagonal axes); the cell edges are 2.9185, 2.9185 and 27.1657 Å and the angles 90.00°, 90.00° and 120.00°. The inequivalent atoms are Cr at (0.0000, 0.0000, 0.0000), Pt at (0.0000, 0.0000, 0.7397), Au at (0.0000, 0.0000, 0.2534) and Au at (0.0000, 0.0000, 0.4958).

***

DFT (PBE-GGA) results for crystalline Cr2PtAu at its relaxed geometry.

The electronic total energy is -6.98 eV/atom. The density of states at the Fermi level comes out at 4.48 states/eV/cell. The energy of formation comes out at 0.16 eV/atom. The calculation puts the volume at 14.5 A^3/atom. The crystal system is orthorhombic.

The structure belongs to space group Pmmm (No. 47); the cell edges are 2.689, 3.975 and 5.415 Å and the angles 90.00°, 90.00° and 90.00°. The inequivalent atoms are Cr at (0.000, 0.000, 0.211), Pt at (0.500, 0.500, 0.000) and Au at (0.500, 0.500, 0.500).

***

DFT (PBE-GGA) results for crystalline Cr2PtAu at its relaxed geometry.

The electronic total energy is -6.95 eV/atom. The density of states at the Fermi level comes out at 6.32 states/eV/cell. The energy of formation comes out at 0.20 eV/atom. The calculation puts the volume at 14.6 A^3/atom. The crystal system is tetragonal.

The structure belongs to space group P4/mmm (No. 123); the cell edges are 3.882, 3.882 and 3.880 Å and the angles 90.00°, 90.00° and 90.00°. The inequivalent atoms are Cr at (0.000, 0.500, 0.000), Pt at (0.000, 0.000, 0.500) and Au at (0.500, 0.500, 0.500).

***

DFT (PBE-GGA) results for crystalline CrPtAu2 at its relaxed geometry.

The electronic total energy is -5.49 eV/atom. The density of states at the Fermi level comes out at 4.47 states/eV/cell. The energy of formation comes out at 0.07 eV/atom. The calculation puts the volume at 16.7 A^3/atom. The crystal system is orthorhombic.

The structure belongs to space group Pmmm (No. 47); the cell edges are 3.016, 3.924 and 5.628 Å and the angles 90.00°, 90.00° and 90.00°. The inequivalent atoms are Cr at (0.000, 0.000, 0.000), Pt at (0.000, 0.000, 0.500) and Au at (0.500, 0.500, 0.245).

***

DFT (PBE-GGA) results for crystalline Cr2PtAu at its relaxed geometry.

The electronic total energy is -7.01 eV/atom. The density of states at the Fermi level comes out at 9.31 states/eV/cell. The energy of formation comes out at 0.13 eV/atom. The calculation puts the volume at 15.2 A^3/atom. The crystal system is tetragonal.

The structure belongs to space group I-4m2 (No. 119); the cell edges are 3.893, 3.893 and 8.036 Å and the angles 90.00°, 90.00° and 90.00°. The inequivalent atoms are Cr at (0.000, 0.000, 0.000), Cr at (0.000, 0.500, 0.250), Pt at (0.000, 0.000, 0.500) and Au at (0.000, 0.500, 0.750).

***

DFT (PBE-GGA) results for crystalline Cr2PtAu at its relaxed geometry.

The electronic total energy is -7.03 eV/atom. The density of states at the Fermi level comes out at 8.80 states/eV/cell. The energy of formation comes out at 0.11 eV/atom. The calculation puts the volume at 15.9 A^3/atom. The crystal system is tetragonal.

The structure belongs to space group I4/mmm (No. 139); the cell edges are 4.494, 4.494 and 6.312 Å and the angles 90.00°, 90.00° and 90.00°. The inequivalent atoms are Cr at (0.000, 0.500, 0.250), Pt at (0.000, 0.000, 0.000) and Au at (0.000, 0.000, 0.500).

***

DFT (PBE-GGA) results for crystalline CrPt2Au at its relaxed geometry.

The electronic total energy is -6.28 eV/atom. The density of states at the Fermi level comes out at 10.01 states/eV/cell. The energy of formation comes out at -0.04 eV/atom. The calculation puts the volume at 15.8 A^3/atom. The crystal system is monoclinic.

The structure belongs to space group C2/m (No. 12); the cell edges are 9.271, 2.887 and 4.858 Å and the angles 90.00°, 102.80° and 90.00°. The inequivalent atoms are Cr at (0.000, 0.000, 0.000), Pt at (0.240, 0.500, 0.239) and Au at (0.000, 0.500, 0.500).

***

DFT (PBE-GGA) results for crystalline CrPtAu2 at its relaxed geometry.

The electronic total energy is -5.51 eV/atom. The density of states at the Fermi level comes out at 7.13 states/eV/cell. The energy of formation comes out at 0.05 eV/atom. The calculation puts the volume at 16.7 A^3/atom. The crystal system is monoclinic.

The structure belongs to space group C2/m (No. 12); the cell edges are 9.536, 2.944 and 4.840 Å and the angles 90.00°, 101.20° and 90.00°. The inequivalent atoms are Cr at (0.000, 0.000, 0.000), Pt at (0.000, 0.500, 0.500) and Au at (0.248, 0.500, 0.247).

***

DFT (PBE-GGA) results for crystalline CrPtAu2 at its relaxed geometry.

The electronic total energy is -5.51 eV/atom. The density of states at the Fermi level comes out at 7.59 states/eV/cell. The energy of formation comes out at 0.05 eV/atom. The calculation puts the volume at 16.7 A^3/atom. The crystal system is monoclinic.

The structure belongs to space group Cm (No. 8); the cell edges are 9.397, 2.989 and 4.886 Å and the angles 90.00°, 103.46° and 90.00°. The inequivalent atoms are Cr at (0.000, 0.000, 0.000), Pt at (0.268, 0.000, 0.777), Au at (0.009, 0.500, 0.512) and Au at (0.248, 0.500, 0.258).

***

> The highest electronic total energy belongs to which entry?

number 3

***

> What is the energy of formation in the tenth record?

-0.04 eV/atom

***

What did the third record say?
DFT (PBE-GGA) results for crystalline CrPtAu2 at its relaxed geometry.

The electronic total energy is -5.45 eV/atom. The density of states at the Fermi level comes out at 2.61 states/eV/cell. The energy of formation comes out at 0.11 eV/atom. The calculation puts the volume at 17.0 A^3/atom. The crystal system is monoclinic.

The structure belongs to space group P2/m (No. 10); the cell edges are 2.879, 4.867 and 4.853 Å and the angles 90.00°, 91.27° and 90.00°. The inequivalent atoms are Cr at (0.000, 0.000, 0.000), Pt at (0.500, 0.000, 0.500) and Au at (0.252, 0.500, 0.752).

***

What did the seventh record say?
DFT (PBE-GGA) results for crystalline CrPtAu2 at its relaxed geometry.

The electronic total energy is -5.49 eV/atom. The density of states at the Fermi level comes out at 4.47 states/eV/cell. The energy of formation comes out at 0.07 eV/atom. The calculation puts the volume at 16.7 A^3/atom. The crystal system is orthorhombic.

The structure belongs to space group Pmmm (No. 47); the cell edges are 3.016, 3.924 and 5.628 Å and the angles 90.00°, 90.00° and 90.00°. The inequivalent atoms are Cr at (0.000, 0.000, 0.000), Pt at (0.000, 0.000, 0.500) and Au at (0.500, 0.500, 0.245).